Computed, not measured: an optimized crystal structure of NaPaFe2O6 at the GGA+U level of DFT.

The space group is R3 (No. 146, hexagonal axes) and the conventional cell measures 5.4942, 5.4942 and 14.1654 Å, with angles of 90.00, 90.00 and 120.00 degrees. The distinct sites, in fractional coordinates, are Na at (0.0000, 0.0000, 0.0000), Pa at (0.0000, 0.0000, 0.4861), Fe at (0.0000, 0.0000, 0.2706), Fe at (0.0000, 0.0000, 0.7760), O at (0.0039, 0.3818, 0.5360) and O at (0.0212, 0.5989, 0.0435).

For the size of the total moment, the calculation gives 30.00 Bohr magnetons per cell. For the density of states at the Fermi level, the calculation gives 0.00 states/eV/f.u. Its calculated total energy is -7.376 eV per atom.